[1]
VASP calculation (GGA-PBE) on an optimized crystal structure of TaCuBAu.

abc: 4.3287 4.3287 4.3287
angles: 60.00 60.00 60.00
Atoms (fractional coordinates):
Au: 0.2500 0.2500 0.2500
B: 0.0000 0.0000 0.0000
Ta: 0.5000 0.5000 0.5000
Cu: 0.7500 0.7500 0.7500

Space group   No. 216
Spin magnetization   0.000 μB per atom
Raw total energy   -5.480 eV per atom

***

[2]
VASP calculation (GGA-PBE) on an optimized crystal structure of TlCuBAu.

abc: 4.5726 4.5726 4.5726
angles: 60.00 60.00 60.00
Atoms (fractional coordinates):
Tl: 0.5000 0.5000 0.5000
Au: 0.7500 0.7500 0.7500
Cu: 0.0000 0.0000 0.0000
B: 0.2500 0.2500 0.2500

Space group   No. 216
Raw total energy   -2.982 eV per atom

***

[3]
VASP calculation (GGA-PBE) on an optimized crystal structure of TlCuBAu.

abc: 4.5070 4.5070 4.5070
angles: 60.00 60.00 60.00
Atoms (fractional coordinates):
Tl: 0.2500 0.2500 0.2500
B: 0.5000 0.5000 0.5000
Au: 0.7500 0.7500 0.7500
Cu: 0.0000 0.0000 0.0000

Space group   No. 216
Raw total energy   -3.056 eV per atom

***

[4]
VASP calculation (GGA-PBE) on an optimized crystal structure of YCuBAu.

abc: 4.5396 4.5396 4.5396
angles: 60.00 60.00 60.00
Atoms (fractional coordinates):
Au: 0.7500 0.7500 0.7500
Y: 0.5000 0.5000 0.5000
B: 0.0000 0.0000 0.0000
Cu: 0.2500 0.2500 0.2500

Space group   No. 216
Spin magnetization   0.000 μB per atom
Raw total energy   -4.695 eV per atom

***

[5]
VASP calculation (GGA-PBE) on an optimized crystal structure of YCuBAu.

abc: 4.4580 4.4580 4.4580
angles: 60.00 60.00 60.00
Atoms (fractional coordinates):
Cu: 0.0000 0.0000 0.0000
B: 0.5000 0.5000 0.5000
Au: 0.7500 0.7500 0.7500
Y: 0.2500 0.2500 0.2500

Space group   No. 216
Spin magnetization   0.000 μB per atom
Raw total energy   -4.960 eV per atom

***

[6]
VASP calculation (GGA-PBE) on an optimized crystal structure of ZnCuBAu.

abc: 4.2339 4.2339 4.2339
angles: 60.00 60.00 60.00
Atoms (fractional coordinates):
Zn: 0.2500 0.2500 0.2500
Au: 0.5000 0.5000 0.5000
Cu: 0.7500 0.7500 0.7500
B: 0.0000 0.0000 0.0000

Space group   No. 216
Raw total energy   -3.068 eV per atom

***

[7]
VASP calculation (GGA-PBE) on an optimized crystal structure of ZnCuBAu.

abc: 4.1800 4.1800 4.1800
angles: 60.00 60.00 60.00
Atoms (fractional coordinates):
Zn: 0.5000 0.5000 0.5000
Au: 0.2500 0.2500 0.2500
Cu: 0.7500 0.7500 0.7500
B: 0.0000 0.0000 0.0000

Space group   No. 216
Raw total energy   -3.165 eV per atom

***

[8]
VASP calculation (GGA-PBE) on an optimized crystal structure of DyBAu.

abc: 4.2498 4.2498 4.2498
angles: 60.00 60.00 60.00
Atoms (fractional coordinates):
Au: 0.2500 0.2500 0.2500
Dy: 0.7500 0.7500 0.7500
B: 0.0000 0.0000 0.0000

Space group   No. 216
Spin magnetization   0.001 μB per atom
Raw total energy   -4.986 eV per atom

***

[9]
VASP calculation (GGA-PBE) on an optimized crystal structure of ErB4Au.

abc: 3.2285 3.2285 7.1991
angles: 90.00 90.00 120.00
Atoms (fractional coordinates):
B: 0.3333 0.6667 0.7509
B: 0.6667 0.3333 0.7509
B: 0.3333 0.6667 0.2491
B: 0.6667 0.3333 0.2491
Au: 0.0000 0.0000 0.0000
Er: 0.0000 0.0000 0.5000

Space group   No. 191
Spin magnetization   0.001 μB per atom
Raw total energy   -5.739 eV per atom

***

[10]
VASP calculation (GGA-PBE) on an optimized crystal structure of ErBAu.

abc: 4.4904 4.4904 4.4904
angles: 60.00 60.00 60.00
Atoms (fractional coordinates):
Er: 0.0000 0.0000 0.0000
Au: 0.2500 0.2500 0.2500
B: 0.7500 0.7500 0.7500

Space group   No. 216
Spin magnetization   0.000 μB per atom
Raw total energy   -4.271 eV per atom

***

[11]
VASP calculation (GGA-PBE) on an optimized crystal structure of ErBAu.

abc: 4.2155 4.2155 4.2155
angles: 60.00 60.00 60.00
Atoms (fractional coordinates):
Au: 0.2500 0.2500 0.2500
Er: 0.7500 0.7500 0.7500
B: 0.0000 0.0000 0.0000

Space group   No. 216
Spin magnetization   0.000 μB per atom
Raw total energy   -4.999 eV per atom

***

[12]
VASP calculation (GGA-PBE) on an optimized crystal structure of ErB4Au.

abc: 5.0571 5.0571 5.0571
angles: 143.12 117.89 74.48
Atoms (fractional coordinates):
Er: 0.5000 0.5000 0.0000
B: 0.5438 0.2294 0.3144
B: 0.4562 0.7706 0.6856
B: 0.0850 0.7706 0.3144
B: 0.9150 0.2294 0.6856
Au: 0.0000 0.0000 0.0000

Space group   No. 71
Spin magnetization   0.000 μB per atom
Raw total energy   -5.866 eV per atom

***

[13]
VASP calculation (GGA-PBE) on an optimized crystal structure of FeB2Au.

abc: 4.0028 4.0028 4.0028
angles: 60.00 60.00 60.00
Site moments in Bohr magnetons follow the coordinates.
Atoms (fractional coordinates):
B: 0.0000 0.0000 0.0000  0.01
B: 0.7500 0.7500 0.7500  -0.09
Au: 0.2500 0.2500 0.2500  0.06
Fe: 0.5000 0.5000 0.5000  2.26

Space group   No. 216
Spin magnetization   0.551 μB per atom
Raw total energy   -4.887 eV per atom

***

[14]
VASP calculation (GGA-PBE) on an optimized crystal structure of FeBAu2.

abc: 4.2805 4.2805 4.2805
angles: 60.00 60.00 60.00
Site moments in Bohr magnetons follow the coordinates.
Atoms (fractional coordinates):
Au: 0.7500 0.7500 0.7500  0.04
Au: 0.0000 0.0000 0.0000  0.07
Fe: 0.2500 0.2500 0.2500  2.83
B: 0.5000 0.5000 0.5000  -0.03

Space group   No. 216
Spin magnetization   0.732 μB per atom
Raw total energy   -4.499 eV per atom

***

[15]
VASP calculation (GGA-PBE) on an optimized crystal structure of Fe2BAu.

abc: 4.0877 4.0877 4.0877
angles: 60.00 60.00 60.00
Site moments in Bohr magnetons follow the coordinates.
Atoms (fractional coordinates):
Fe: 0.7500 0.7500 0.7500  2.29
Fe: 0.0000 0.0000 0.0000  2.70
B: 0.5000 0.5000 0.5000  -0.01
Au: 0.2500 0.2500 0.2500  0.10

Space group   No. 216
Spin magnetization   1.285 μB per atom
Raw total energy   -6.043 eV per atom

***

[16]
VASP calculation (GGA-PBE) on an optimized crystal structure of FeB4Au.

abc: 2.9584 2.9584 7.6827
angles: 90.00 90.00 120.00
Site moments in Bohr magnetons follow the coordinates.
Atoms (fractional coordinates):
B: 0.3333 0.6667 0.6939  0.04
B: 0.6667 0.3333 0.6939  0.04
B: 0.3333 0.6667 0.3061  0.04
B: 0.6667 0.3333 0.3061  0.04
Au: 0.0000 0.0000 0.0000  0.01
Fe: 0.0000 0.0000 0.5000  2.20

Space group   No. 191
Spin magnetization   0.398 μB per atom
Raw total energy   -6.054 eV per atom

***

[17]
VASP calculation (GGA-PBE) on an optimized crystal structure of FeB4Au.

abc: 4.7533 4.7533 4.7533
angles: 142.63 115.02 77.43
Site moments in Bohr magnetons follow the coordinates.
Atoms (fractional coordinates):
B: 0.9076 0.2326 0.6750  0.09
B: 0.0924 0.7674 0.3250  0.09
B: 0.4425 0.7674 0.6750  0.09
B: 0.5575 0.2326 0.3250  0.09
Au: 0.0000 0.0000 0.0000  0.03
Fe: 0.5000 0.5000 0.0000  2.97

Space group   No. 71
Spin magnetization   0.570 μB per atom
Raw total energy   -5.919 eV per atom

***

[18]
VASP calculation (GGA-PBE) on an optimized crystal structure of HfFeBAu.

abc: 4.3356 4.3356 4.3356
angles: 60.00 60.00 60.00
Atoms (fractional coordinates):
Hf: 0.5000 0.5000 0.5000
B: 0.0000 0.0000 0.0000
Fe: 0.7500 0.7500 0.7500
Au: 0.2500 0.2500 0.2500

Space group   No. 216
Spin magnetization   0.430 μB per atom
Raw total energy   -6.564 eV per atom

***

[19]
VASP calculation (GGA-PBE) on an optimized crystal structure of HfFeBAu.

abc: 4.3697 4.3697 4.3697
angles: 60.00 60.00 60.00
Atoms (fractional coordinates):
Fe: 0.7500 0.7500 0.7500
Au: 0.5000 0.5000 0.5000
Hf: 0.2500 0.2500 0.2500
B: 0.0000 0.0000 0.0000

Space group   No. 216
Spin magnetization   0.612 μB per atom
Raw total energy   -6.762 eV per atom

***

[20]
VASP calculation (GGA-PBE) on an optimized crystal structure of LiFeBAu.

abc: 4.1065 4.1065 4.1065
angles: 60.00 60.00 60.00
Atoms (fractional coordinates):
Fe: 0.7500 0.7500 0.7500
Au: 0.5000 0.5000 0.5000
Li: 0.2500 0.2500 0.2500
B: 0.0000 0.0000 0.0000

Space group   No. 216
Spin magnetization   0.648 μB per atom
Raw total energy   -4.569 eV per atom

***

[21]
VASP calculation (GGA-PBE) on an optimized crystal structure of LiFeBAu.

abc: 3.9409 3.9409 3.9409
angles: 60.00 60.00 60.00
Atoms (fractional coordinates):
Fe: 0.7500 0.7500 0.7500
Au: 0.2500 0.2500 0.2500
B: 0.0000 0.0000 0.0000
Li: 0.5000 0.5000 0.5000

Space group   No. 216
Spin magnetization   0.395 μB per atom
Raw total energy   -4.721 eV per atom

***

[22]
VASP calculation (GGA-PBE) on an optimized crystal structure of FeBMoAu.

abc: 4.1722 4.1722 4.1722
angles: 60.00 60.00 60.00
Atoms (fractional coordinates):
B: 0.0000 0.0000 0.0000
Mo: 0.2500 0.2500 0.2500
Fe: 0.5000 0.5000 0.5000
Au: 0.7500 0.7500 0.7500

Space group   No. 216
Spin magnetization   0.415 μB per atom
Raw total energy   -6.662 eV per atom

***

[23]
VASP calculation (GGA-PBE) on an optimized crystal structure of FeBMoAu.

abc: 4.2156 4.2156 4.2156
angles: 60.00 60.00 60.00
Atoms (fractional coordinates):
Fe: 0.5000 0.5000 0.5000
B: 0.2500 0.2500 0.2500
Mo: 0.0000 0.0000 0.0000
Au: 0.7500 0.7500 0.7500

Space group   No. 216
Spin magnetization   0.324 μB per atom
Raw total energy   -6.546 eV per atom

***

[24]
VASP calculation (GGA-PBE) on an optimized crystal structure of NbFeBAu.

abc: 4.2887 4.2887 4.2887
angles: 60.00 60.00 60.00
Atoms (fractional coordinates):
Fe: 0.7500 0.7500 0.7500
Nb: 0.2500 0.2500 0.2500
Au: 0.5000 0.5000 0.5000
B: 0.0000 0.0000 0.0000

Space group   No. 216
Spin magnetization   0.478 μB per atom
Raw total energy   -6.583 eV per atom

***

[25]
VASP calculation (GGA-PBE) on an optimized crystal structure of NbFeBAu.

abc: 4.2948 4.2948 4.2948
angles: 60.00 60.00 60.00
Atoms (fractional coordinates):
Fe: 0.7500 0.7500 0.7500
Au: 0.2500 0.2500 0.2500
B: 0.0000 0.0000 0.0000
Nb: 0.5000 0.5000 0.5000

Space group   No. 216
Spin magnetization   0.393 μB per atom
Raw total energy   -6.349 eV per atom

***

[26]
VASP calculation (GGA-PBE) on an optimized crystal structure of FeNiBAu.

abc: 4.0838 4.0838 4.0838
angles: 60.00 60.00 60.00
Atoms (fractional coordinates):
B: 0.0000 0.0000 0.0000
Ni: 0.2500 0.2500 0.2500
Fe: 0.7500 0.7500 0.7500
Au: 0.5000 0.5000 0.5000

Space group   No. 216
Spin magnetization   0.675 μB per atom
Raw total energy   -5.359 eV per atom

***

[27]
VASP calculation (GGA-PBE) on an optimized crystal structure of FeNiBAu.

abc: 4.0478 4.0478 4.0478
angles: 60.00 60.00 60.00
Site moments in Bohr magnetons follow the coordinates.
Atoms (fractional coordinates):
Au: 0.2500 0.2500 0.2500  0.03
Fe: 0.7500 0.7500 0.7500  2.52
B: 0.0000 0.0000 0.0000  -0.06
Ni: 0.5000 0.5000 0.5000  0.41

Space group   No. 216
Spin magnetization   0.724 μB per atom
Raw total energy   -5.435 eV per atom

***

[28]
VASP calculation (GGA-PBE) on an optimized crystal structure of FeBOsAu.

abc: 4.1931 4.1931 4.1931
angles: 60.00 60.00 60.00
Atoms (fractional coordinates):
Au: 0.5000 0.5000 0.5000
Os: 0.2500 0.2500 0.2500
Fe: 0.7500 0.7500 0.7500
B: 0.0000 0.0000 0.0000

Space group   No. 216
Spin magnetization   0.669 μB per atom
Raw total energy   -6.459 eV per atom

***

[29]
VASP calculation (GGA-PBE) on an optimized crystal structure of FeBPtAu.

abc: 4.2546 4.2546 4.2546
angles: 60.00 60.00 60.00
Atoms (fractional coordinates):
Au: 0.5000 0.5000 0.5000
Pt: 0.2500 0.2500 0.2500
B: 0.0000 0.0000 0.0000
Fe: 0.7500 0.7500 0.7500

Space group   No. 216
Spin magnetization   0.686 μB per atom
Raw total energy   -5.412 eV per atom

***

[30]
VASP calculation (GGA-PBE) on an optimized crystal structure of FeReBAu.

abc: 4.1843 4.1843 4.1843
angles: 60.00 60.00 60.00
Atoms (fractional coordinates):
Fe: 0.7500 0.7500 0.7500
Re: 0.2500 0.2500 0.2500
Au: 0.5000 0.5000 0.5000
B: 0.0000 0.0000 0.0000

Space group   No. 216
Spin magnetization   0.416 μB per atom
Raw total energy   -6.763 eV per atom